1.
MgNi2Te: optimized geometry, PBE.

Results
energy relative to the lowest polymorph listed for this composition = 0.032 eV per atom
size of the total moment = 0.000 μB/atom
crystal system = cubic
uncorrected formation energy = -83.6 meV/atom

abc: 6.2436 6.2436 6.2436
angles: 90.00 90.00 90.00
With the nearest neighbours (Å) after each atom.
Space group Fm-3m (No. 225)
Inequivalent atoms, fractional coordinates:
1 Mg 0.0000 0.0000 0.0000  8 Ni 2.70
2 Ni 0.2500 0.2500 0.2500  4 Te 2.70, 4 Mg 2.70
3 Te 0.0000 0.0000 0.5000  8 Ni 2.70

***

2.
Co2TcAs: optimized geometry, PBE.

Results
energy of formation from the pure elements = 0.24 eV/atom
size of the total moment = 0.778 μB/atom
crystal system = trigonal

abc: 2.7812 2.7812 23.7473
angles: 90.00 90.00 120.00
With the nearest neighbours (Å) after each atom.
Space group R3m (No. 160, hexagonal axes)
Inequivalent atoms, fractional coordinates:
1 Co 0.0000 0.0000 0.0000  3 As 2.48, 9 Co 2.49-2.78
2 Co 0.0000 0.0000 0.2529  9 Co 2.49-2.78, 3 Tc 2.60
3 Tc 0.0000 0.0000 0.5001  3 Co 2.60, 3 As 2.61, 6 Tc 2.78
4 As 0.0000 0.0000 0.7465  3 Co 2.48, 3 Tc 2.61, 6 As 2.78

***

3.
LiPuAgO5: optimized geometry, PBE.

Results
size of the total moment = 0.116 μB/atom
crystal system = monoclinic
uncorrected formation energy = -1665.7 meV/atom

abc: 6.5820 9.5959 7.8288
angles: 90.00 111.79 90.00
With the nearest neighbours (Å) after each atom.
Space group C2/c (No. 15)
Inequivalent atoms, fractional coordinates:
1 Li 0.0000 0.0461 0.2500  4 O 1.96-1.98
2 Pu 0.2500 0.2500 0.0000  4 O 1.86-2.00
3 Ag 0.0000 0.4309 0.2500  3 O 2.09-2.18
4 O 0.0000 0.3415 0.7500  1 Ag 2.18, 2 Pu 2.22
5 O 0.0256 0.1764 0.0635  1 Pu 1.86, 1 Li 1.98
6 O 0.2471 0.4228 0.1420  1 Li 1.96, 1 Pu 2.00, 1 Ag 2.09